# 1
Density functional theory data (PBE-GGA) for crystalline La3Tb4Tm at its relaxed geometry.

Properties
* symmetry: Pmn2_1 (31)
* polymorph energy (0 for the lowest one): 0 meV per atom
* Fermi-level density of states: 9.69 states/eV/f.u.

a = 7.277 Å, b = 6.267 Å, c = 11.723 Å
α = 90.00°, β = 90.00°, γ = 90.00°
Sites, in units of the cell vectors:
La  0.689  0.830  0.000
La  0.939  0.002  0.249
La  0.439  0.998  0.251
La  0.189  0.170  0.500
La  0.439  0.998  0.749
La  0.939  0.002  0.751
Tb  0.189  0.831  0.000
Tb  0.439  0.331  0.000
Tb  0.190  0.501  0.249
Tb  0.690  0.499  0.251
Tb  0.939  0.669  0.500
Tb  0.689  0.169  0.500
Tb  0.690  0.499  0.749
Tb  0.190  0.501  0.751
Tm  0.942  0.333  0.000
Tm  0.442  0.667  0.500

---

# 2
Density functional theory data (PBE-GGA) for crystalline La12Tb6Tm at its relaxed geometry.

Properties
* symmetry: R-3 (148)
* Fermi-level density of states: 35.32 states/eV/f.u.

a = 9.332 Å, b = 9.332 Å, c = 9.332 Å
α = 106.80°, β = 106.80°, γ = 106.80°
Sites, in units of the cell vectors:
La  0.489  0.193  0.586
La  0.193  0.586  0.489
La  0.586  0.489  0.193
La  0.511  0.807  0.414
La  0.807  0.414  0.511
La  0.414  0.511  0.807
La  0.285  0.114  0.815
La  0.185  0.715  0.886
La  0.886  0.185  0.715
La  0.715  0.886  0.185
La  0.815  0.285  0.114
La  0.114  0.815  0.285
Tb  0.091  0.194  0.437
Tb  0.806  0.563  0.909
Tb  0.563  0.909  0.806
Tb  0.909  0.806  0.563
Tb  0.194  0.437  0.091
Tb  0.437  0.091  0.194
Tm  0.000  0.000  0.000

---

# 3
Density functional theory data (PBE-GGA) for crystalline LaTb6Tm3 at its relaxed geometry.

Properties
* symmetry: Cmc2_1 (36)
* polymorph energy (0 for the lowest one): 0 meV per atom
* Fermi-level density of states: 12.41 states/eV/f.u.

a = 6.259 Å, b = 11.036 Å, c = 11.036 Å
α = 122.11°, β = 90.00°, γ = 90.00°
Sites, in units of the cell vectors:
La  0.206  0.212  0.788
La  0.706  0.788  0.212
Tb  0.005  0.712  0.628
Tb  0.505  0.628  0.712
Tb  0.359  0.564  0.985
Tb  0.859  0.985  0.564
Tb  0.407  0.951  0.049
Tb  0.641  0.313  0.687
Tb  0.141  0.687  0.313
Tb  0.907  0.049  0.951
Tb  0.359  0.015  0.436
Tb  0.859  0.436  0.015
Tb  0.005  0.372  0.288
Tb  0.505  0.288  0.372
Tm  0.448  0.923  0.707
Tm  0.948  0.707  0.923
Tm  0.109  0.386  0.614
Tm  0.609  0.614  0.386
Tm  0.948  0.077  0.293
Tm  0.448  0.293  0.077

---

# 4
Density functional theory data (PBE-GGA) for crystalline LaTb4Tm at its relaxed geometry.

Properties
* symmetry: C2/m (12)
* polymorph energy (0 for the lowest one): 0 meV per atom
* Fermi-level density of states: 12.93 states/eV/f.u.

a = 3.438 Å, b = 6.092 Å, c = 10.158 Å
α = 88.09°, β = 80.26°, γ = 73.61°
Sites, in units of the cell vectors:
La  0.500  0.500  0.500
Tb  0.654  0.540  0.152
Tb  0.346  0.460  0.848
Tb  0.153  0.035  0.659
Tb  0.847  0.965  0.341
Tm  0.000  0.000  0.000

---

# 5
Density functional theory data (PBE-GGA) for crystalline La2Tb4Tm3 at its relaxed geometry.

Properties
* symmetry: C2/m (12)
* polymorph energy (0 for the lowest one): 125 meV per atom
* Fermi-level density of states: 16.83 states/eV/f.u.

a = 6.124 Å, b = 6.898 Å, c = 8.555 Å
α = 80.82°, β = 68.95°, γ = 63.65°
Sites, in units of the cell vectors:
La  0.614  0.000  0.769
La  0.386  0.000  0.231
Tb  0.668  0.290  0.374
Tb  0.958  0.710  0.374
Tb  0.332  0.710  0.626
Tb  0.042  0.290  0.626
Tm  0.000  0.500  0.000
Tm  0.000  0.000  0.000
Tm  0.500  0.500  0.000

---

# 6
Density functional theory data (PBE-GGA) for crystalline La2Tb4Tm3 at its relaxed geometry.

Properties
* symmetry: P3m1 (156)
* polymorph energy (0 for the lowest one): 0 meV per atom
* Fermi-level density of states: 15.92 states/eV/f.u.

a = 3.599 Å, b = 3.599 Å, c = 26.457 Å
α = 90.00°, β = 90.00°, γ = 120.00°
Sites, in units of the cell vectors:
La  0.667  0.333  0.090
La  0.667  0.333  0.869
Tb  0.000  0.000  0.543
Tb  0.667  0.333  0.435
Tb  0.667  0.333  0.225
Tb  0.000  0.000  0.754
Tm  0.000  0.000  0.982
Tm  0.000  0.000  0.329
Tm  0.667  0.333  0.649

---

E_form for every record listed, in sequence, given in meV per atom: 4; 219; 152; 198; 174; 48.